Density functional theory data (PBE-GGA) for crystalline SrSnAs2Br at its relaxed geometry.

Structure (CIF):
```
data_SrSnAs2Br
_chemical_formula_sum 'Sr1 Sn1 As2 Br1'
_space_group_name_H-M_alt 'P 4/m m m'
_space_group_IT_number 123
_space_group_name_Hall '-P 4 2'
_cell_length_a 5.240
_cell_length_b 5.240
_cell_length_c 5.784
_cell_angle_alpha 90.00
_cell_angle_beta 90.00
_cell_angle_gamma 90.00
loop_
_atom_site_label
_atom_site_type_symbol
_atom_site_fract_x
_atom_site_fract_y
_atom_site_fract_z
_atom_site_occupancy
Sr1 Sr 0.000 0.000 0.000 1
Sn1 Sn 0.500 0.500 0.500 1
As1 As 0.000 0.500 0.500 1
Br1 Br 0.500 0.500 0.000 1
```

Output
Raw formation energy: -0.2767 eV per atom
Total moment: 0.00 μB/cell

***

Density functional theory data (PBE-GGA) for crystalline K2LiMo at its relaxed geometry.

Structure (CIF):
```
data_K2LiMo
_chemical_formula_sum 'K8 Li4 Mo4'
_space_group_name_H-M_alt 'F m -3 m'
_space_group_IT_number 225
_space_group_name_Hall '-F 4 2 3'
_cell_length_a 8.633
_cell_length_b 8.633
_cell_length_c 8.633
_cell_angle_alpha 90.00
_cell_angle_beta 90.00
_cell_angle_gamma 90.00
loop_
_atom_site_label
_atom_site_type_symbol
_atom_site_fract_x
_atom_site_fract_y
_atom_site_fract_z
_atom_site_occupancy
K1 K 0.250 0.250 0.250 1
Li1 Li 0.000 0.000 0.000 1
Mo1 Mo 0.000 0.000 0.500 1
```

Output
Total moment: 19.37 μB/cell
Formation enthalpy at 0 K: 1.215 eV per atom

***

Density functional theory data (PBE-GGA) for crystalline LiOsSe2N at its relaxed geometry.

Structure (CIF):
```
data_LiOsSe2N
_chemical_formula_sum 'Li1 Os1 Se2 N1'
_space_group_name_H-M_alt 'P 4/m m m'
_space_group_IT_number 123
_space_group_name_Hall '-P 4 2'
_cell_length_a 4.663
_cell_length_b 4.663
_cell_length_c 3.310
_cell_angle_alpha 90.00
_cell_angle_beta 90.00
_cell_angle_gamma 90.00
loop_
_atom_site_label
_atom_site_type_symbol
_atom_site_fract_x
_atom_site_fract_y
_atom_site_fract_z
_atom_site_occupancy
Li1 Li 0.000 0.000 0.000 1
Os1 Os 0.500 0.500 0.500 1
Se1 Se 0.000 0.500 0.000 1
N1 N 0.000 0.000 0.500 1
```

Output
Raw formation energy: 1.3611 eV per atom
Total moment: 1.43 μB/cell

***

Density functional theory data (PBE-GGA) for crystalline RbAlCr3 at its relaxed geometry.

Structure (CIF):
```
data_RbAlCr3
_chemical_formula_sum 'Rb1 Al1 Cr3'
_space_group_name_H-M_alt 'P m -3 m'
_space_group_IT_number 221
_space_group_name_Hall '-P 4 2 3'
_cell_length_a 5.209
_cell_length_b 5.209
_cell_length_c 5.209
_cell_angle_alpha 90.00
_cell_angle_beta 90.00
_cell_angle_gamma 90.00
loop_
_atom_site_label
_atom_site_type_symbol
_atom_site_fract_x
_atom_site_fract_y
_atom_site_fract_z
_atom_site_occupancy
Rb1 Rb 0.000 0.000 0.000 1
Al1 Al 0.500 0.500 0.500 1
Cr1 Cr 0.000 0.500 0.500 1
```

Output
Total moment: 13.92 μB/cell
Formation enthalpy at 0 K: 1.222 eV per atom

***

Density functional theory data (PBE-GGA) for crystalline SrPb2F6 at its relaxed geometry.

Structure (CIF):
```
data_SrPb2F6
_chemical_formula_sum 'Sr2 Pb4 F12'
_space_group_name_H-M_alt 'I m m m'
_space_group_IT_number 71
_space_group_name_Hall '-I 2 2'
_cell_length_a 4.209
_cell_length_b 5.949
_cell_length_c 12.610
_cell_angle_alpha 90.00
_cell_angle_beta 90.00
_cell_angle_gamma 90.00
loop_
_atom_site_label
_atom_site_type_symbol
_atom_site_fract_x
_atom_site_fract_y
_atom_site_fract_z
_atom_site_occupancy
Sr1 Sr 0.000 0.000 0.000 1
Pb1 Pb 0.000 0.000 0.334 1
F1 F 0.000 0.247 0.164 1
F2 F 0.000 0.256 0.500 1
```

Output
Raw formation energy: -2.9200 eV per atom
Total moment: 0.00 μB/cell

***

Density functional theory data (PBE-GGA) for crystalline Cs2NdBr3Cl3 at its relaxed geometry.

Structure (CIF):
```
data_Cs2NdBr3Cl3
_chemical_formula_sum 'Cs2 Nd1 Br3 Cl3'
_space_group_name_H-M_alt 'P -6 2 m'
_space_group_IT_number 189
_space_group_name_Hall 'P -6 -2'
_cell_length_a 9.0153
_cell_length_b 9.0153
_cell_length_c 4.4571
_cell_angle_alpha 90.00
_cell_angle_beta 90.00
_cell_angle_gamma 120.00
loop_
_atom_site_label
_atom_site_type_symbol
_atom_site_fract_x
_atom_site_fract_y
_atom_site_fract_z
_atom_site_occupancy
Cs1 Cs 0.3333 0.6667 0.0000 1
Nd1 Nd 0.0000 0.0000 0.5000 1
Br1 Br 0.0000 0.3417 0.5000 1
Cl1 Cl 0.0000 0.7836 0.0000 1
```

Output
Raw formation energy: -1.7085 eV per atom
Total moment: 1.14 μB/cell